A geometry-optimized CoP2WF structure. Source: Alexandria, functional GGA+U.

Results
- D(E_F) (states/eV per atom) = 0.46
- uncorrected energy (eV/atom) = -4.34

Lattice parameters (Å, degrees): 4.476 4.476 3.868 90.00 90.00 90.00
Element x y z (fractional)
Co: 0.000 0.000 0.000
P: 0.000 0.500 0.500
P: 0.500 0.000 0.500
W: 0.500 0.500 0.000
F: 0.000 0.000 0.500